CsHf4S8 | PBE | optimized geometry

Unit cell a=3.6810 b=9.1254 c=9.6231 alpha=83.20 beta=78.97 gamma=78.36
Atoms (fractional coordinates):
S 0.8780 0.6755 0.5685
S 0.4775 0.3403 0.7047
S 0.8115 0.3403 0.0367
S 0.8553 0.9818 0.3076
S 0.5539 0.6631 0.2290
S 0.1761 0.0215 0.6262
S 0.1535 0.3278 0.3651
S 0.2200 0.6631 0.8969
Cs 0.5155 0.0019 0.9670
Hf 0.6673 0.1758 0.4895
Hf 0.8511 0.4985 0.7992
Hf 0.3641 0.8275 0.4443
Hf 0.1803 0.5049 0.1344

Output
ΔE_f (raw) ... -1570 meV per atom
Final energy ... -7.2383 eV per atom